1.
# PrCo2Si2

A PBEsol-optimized structure of PrCo2Si2 (SCAN, Alexandria).

- Raw formation energy: -676 meV per atom
- E_tot: -101.35 eV per cell

Unit cell a=5.6911 b=5.6911 c=5.6911 alpha=139.86 beta=139.86 gamma=58.06
Positions (direct):
Pr (0.0000, 0.0000, 0.0000)
Co (0.2500, 0.7500, 0.5000)
Co (0.7500, 0.2500, 0.5000)
Si (0.3655, 0.3655, 0.0000)
Si (0.6345, 0.6345, 0.0000)

---

2.
# Ba2TaAu

A PBEsol-optimized structure of Ba2TaAu (SCAN, Alexandria).

- Offset from the most stable computed form: 0 meV per atom
- E_tot: -212.07 eV per cell
- Energy of formation: 691.8 meV per atom

Unit cell a=10.7088 b=10.7088 c=10.7088 alpha=19.11 beta=19.11 gamma=19.11
Positions (direct):
Ba (0.2462, 0.2462, 0.2462)
Ba (0.7538, 0.7538, 0.7538)
Ta (0.0000, 0.0000, 0.0000)
Au (0.5000, 0.5000, 0.5000)

---

3.
# V3Cu2TeP6O24

A PBEsol-optimized structure of V3Cu2TeP6O24 (SCAN, Alexandria).

- Raw formation energy: -2175 meV per atom
- E_tot: -410.34 eV per cell

Unit cell a=8.5330 b=8.5330 c=8.5330 alpha=60.52 beta=60.52 gamma=60.52
Positions (direct):
V (0.0000, 0.0000, 0.0000)
V (0.2159, 0.2159, 0.2159)
V (0.5003, 0.5003, 0.5003)
Cu (0.3570, 0.3570, 0.3570)
Cu (0.8615, 0.8615, 0.8615)
Te (0.7168, 0.7168, 0.7168)
P (0.1207, 0.3895, 0.8182)
P (0.3057, 0.9068, 0.6080)
P (0.3895, 0.8182, 0.1207)
P (0.6080, 0.3057, 0.9068)
P (0.8182, 0.1207, 0.3895)
P (0.9068, 0.6080, 0.3057)
O (0.0545, 0.2329, 0.8558)
O (0.1028, 0.4483, 0.2715)
O (0.1188, 0.9128, 0.7801)
O (0.1954, 0.3352, 0.9745)
O (0.2329, 0.8558, 0.0545)
O (0.2715, 0.1028, 0.4483)
O (0.2778, 0.4167, 0.6203)
O (0.3352, 0.9745, 0.1954)
O (0.3615, 0.7365, 0.5529)
O (0.4167, 0.6203, 0.2778)
O (0.4483, 0.2715, 0.1028)
O (0.4620, 0.8963, 0.6577)
O (0.5529, 0.3615, 0.7365)
O (0.5839, 0.8202, 0.9557)
O (0.6203, 0.2778, 0.4167)
O (0.6577, 0.4620, 0.8963)
O (0.7365, 0.5529, 0.3615)
O (0.7801, 0.1188, 0.9128)
O (0.8202, 0.9557, 0.5839)
O (0.8558, 0.0545, 0.2329)
O (0.8963, 0.6577, 0.4620)
O (0.9128, 0.7801, 0.1188)
O (0.9557, 0.5839, 0.8202)
O (0.9745, 0.1954, 0.3352)

---

4.
# ZnCuMo

A PBEsol-optimized structure of ZnCuMo (SCAN, Alexandria).

- Offset from the most stable computed form: 629 meV per atom
- E_tot: -61.12 eV per cell
- Energy of formation: 828.2 meV per atom

Unit cell a=4.0109 b=4.0109 c=4.0109 alpha=60.00 beta=60.00 gamma=60.00
Positions (direct):
Zn (0.0000, 0.0000, 0.0000)
Cu (0.7500, 0.7500, 0.7500)
Mo (0.2500, 0.2500, 0.2500)

---

5.
# NaZnGe2Ir

A PBEsol-optimized structure of NaZnGe2Ir (SCAN, Alexandria).

- E_tot: -118.47 eV per cell
- Energy of formation: 1706.2 meV per atom

Unit cell a=4.6974 b=4.6974 c=4.4301 alpha=90.00 beta=90.00 gamma=90.00
Positions (direct):
Na (0.0000, 0.0000, 0.0000)
Zn (0.0000, 0.0000, 0.5000)
Ge (0.0000, 0.5000, 0.0000)
Ge (0.5000, 0.0000, 0.0000)
Ir (0.5000, 0.5000, 0.5000)

---

6.
# ZrMnN2O

A PBEsol-optimized structure of ZrMnN2O (SCAN, Alexandria).

- Raw formation energy: 351 meV per atom
- E_tot: -72.01 eV per cell

Unit cell a=4.0053 b=4.0053 c=3.3230 alpha=90.00 beta=90.00 gamma=90.00
Positions (direct):
Zr (0.0000, 0.0000, 0.0000)
Mn (0.5000, 0.5000, 0.0000)
N (0.0000, 0.5000, 0.5000)
N (0.5000, 0.0000, 0.5000)
O (0.5000, 0.5000, 0.5000)

---

7.
# LaTi3O

A PBEsol-optimized structure of LaTi3O (SCAN, Alexandria).

- Raw formation energy: -733 meV per atom
- E_tot: -101.09 eV per cell

Unit cell a=4.2959 b=4.2959 c=4.2959 alpha=90.00 beta=90.00 gamma=90.00
Positions (direct):
La (0.0000, 0.0000, 0.0000)
Ti (0.0000, 0.5000, 0.5000)
Ti (0.5000, 0.0000, 0.5000)
Ti (0.5000, 0.5000, 0.0000)
O (0.5000, 0.5000, 0.5000)

---

8.
# BaNiP

A PBEsol-optimized structure of BaNiP (SCAN, Alexandria).

- E_tot: -66.19 eV per cell
- Energy of formation: -21.3 meV per atom

Unit cell a=5.1980 b=5.1980 c=5.1980 alpha=130.35 beta=130.35 gamma=72.85
Positions (direct):
Ba (0.0000, 0.0000, 0.0000)
Ni (0.3879, 0.3879, 0.0000)
P (0.6340, 0.6340, 0.0000)

---

9.
# YCu2BiN

A PBEsol-optimized structure of YCu2BiN (SCAN, Alexandria).

- Raw formation energy: -266 meV per atom
- E_tot: -147.44 eV per cell

Unit cell a=4.2014 b=4.2014 c=4.6248 alpha=90.00 beta=90.00 gamma=90.00
Positions (direct):
Y (0.0000, 0.0000, 0.0000)
Cu (0.0000, 0.5000, 0.5000)
Cu (0.5000, 0.0000, 0.5000)
Bi (0.5000, 0.5000, 0.0000)
N (0.0000, 0.0000, 0.5000)

---

10.
# Os2RuCl

A PBEsol-optimized structure of Os2RuCl (SCAN, Alexandria).

- Offset from the most stable computed form: 0 meV per atom
- Raw formation energy: 524 meV per atom
- E_tot: -184.47 eV per cell

Unit cell a=8.5513 b=8.5513 c=8.5513 alpha=18.65 beta=18.65 gamma=18.65
Positions (direct):
Os (0.0000, 0.0000, 0.0000)
Os (0.2500, 0.2500, 0.2500)
Ru (0.7508, 0.7508, 0.7508)
Cl (0.4969, 0.4969, 0.4969)

---

11.
# Al2Te4O11

A PBEsol-optimized structure of Al2Te4O11 (SCAN, Alexandria).

- Raw formation energy: -1768 meV per atom
- E_tot: -526.23 eV per cell

Unit cell a=6.8022 b=7.5288 c=9.5366 alpha=90.00 beta=100.28 gamma=90.00
Positions (direct):
Al (0.1808, 0.0004, 0.1144)
Al (0.1808, 0.4996, 0.6144)
Al (0.8192, 0.9996, 0.8856)
Al (0.8192, 0.5004, 0.3856)
Te (0.1805, 0.1438, 0.4138)
Te (0.1805, 0.3562, 0.9138)
Te (0.3489, 0.6434, 0.3232)
Te (0.3489, 0.8566, 0.8232)
Te (0.6511, 0.1434, 0.1768)
Te (0.6511, 0.3566, 0.6768)
Te (0.8195, 0.6438, 0.0862)
Te (0.8195, 0.8562, 0.5862)
O (0.0000, 0.0000, 0.5000)
O (0.0000, 0.5000, 0.0000)
O (0.0279, 0.1339, 0.2290)
O (0.0279, 0.3661, 0.7290)
O (0.0598, 0.1326, 0.9488)
O (0.0598, 0.3674, 0.4488)
O (0.2907, 0.6126, 0.7879)
O (0.2907, 0.8874, 0.2879)
O (0.3356, 0.6480, 0.5190)
O (0.3356, 0.8520, 0.0190)
O (0.3693, 0.1874, 0.1502)
O (0.3693, 0.3126, 0.6502)
O (0.6307, 0.6874, 0.3498)
O (0.6307, 0.8126, 0.8498)
O (0.6644, 0.1480, 0.9810)
O (0.6644, 0.3520, 0.4810)
O (0.7093, 0.1126, 0.7121)
O (0.7093, 0.3874, 0.2121)
O (0.9402, 0.6326, 0.5512)
O (0.9402, 0.8674, 0.0512)
O (0.9721, 0.6339, 0.2710)
O (0.9721, 0.8661, 0.7710)

---

12.
# MgMn2PdC

A PBEsol-optimized structure of MgMn2PdC (SCAN, Alexandria).

- E_tot: -80.36 eV per cell
- Energy of formation: 798.9 meV per atom

Unit cell a=4.9151 b=4.9151 c=3.7857 alpha=90.00 beta=90.00 gamma=90.00
Positions (direct):
Mg (0.0000, 0.0000, 0.0000)
Mn (0.0000, 0.5000, 0.5000)
Mn (0.5000, 0.0000, 0.5000)
Pd (0.5000, 0.5000, 0.5000)
C (0.5000, 0.5000, 0.0000)

---

13.
# Ca2Si2Hg

A PBEsol-optimized structure of Ca2Si2Hg (SCAN, Alexandria).

- Offset from the most stable computed form: 336 meV per atom
- Raw formation energy: -80 meV per atom
- E_tot: -107.93 eV per cell

Unit cell a=5.5948 b=5.5948 c=5.5948 alpha=117.76 beta=117.76 gamma=93.93
Positions (direct):
Ca (0.2500, 0.7500, 0.5000)
Ca (0.7500, 0.2500, 0.5000)
Si (0.1534, 0.1534, 0.0000)
Si (0.8466, 0.8466, 0.0000)
Hg (0.5000, 0.5000, 0.0000)

---

14.
# LaAl10Cu2

A PBEsol-optimized structure of LaAl10Cu2 (SCAN, Alexandria).

- E_tot: -154.22 eV per cell
- Energy of formation: -245.8 meV per atom

Unit cell a=9.1704 b=7.2126 c=6.7369 alpha=82.13 beta=51.18 gamma=46.69
Positions (direct):
La (0.0000, 0.0000, 0.0000)
Al (0.0000, 0.0000, 0.5000)
Al (0.0087, 0.3524, 0.6476)
Al (0.2729, 0.4894, 0.5106)
Al (0.3524, 0.0087, 0.9913)
Al (0.4894, 0.2729, 0.7271)
Al (0.5000, 0.5000, 0.0000)
Al (0.5106, 0.7271, 0.2729)
Al (0.6476, 0.9913, 0.0087)
Al (0.7271, 0.5106, 0.4894)
Al (0.9913, 0.6476, 0.3524)
Cu (0.0000, 0.5000, 0.0000)
Cu (0.5000, 0.0000, 0.5000)

---

15.
# YScIn

A PBEsol-optimized structure of YScIn (SCAN, Alexandria).

- E_tot: -76.70 eV per cell
- Energy of formation: -409.9 meV per atom

Unit cell a=6.9855 b=6.9855 c=6.9855 alpha=152.09 beta=152.09 gamma=39.89
Positions (direct):
Y (0.0000, 0.0000, 0.0000)
Sc (0.6834, 0.6834, 0.0000)
In (0.3317, 0.3317, 0.0000)

---

16.
# Mn2MoIF

A PBEsol-optimized structure of Mn2MoIF (SCAN, Alexandria).

- Raw formation energy: 1245 meV per atom
- E_tot: -105.45 eV per cell

Unit cell a=4.8776 b=4.8776 c=5.0463 alpha=90.00 beta=90.00 gamma=90.00
Positions (direct):
Mn (0.0000, 0.5000, 0.0000)
Mn (0.5000, 0.0000, 0.0000)
Mo (0.0000, 0.0000, 0.5000)
I (0.0000, 0.0000, 0.0000)
F (0.5000, 0.5000, 0.5000)

---

17.
# Li4TaAu

A PBEsol-optimized structure of Li4TaAu (SCAN, Alexandria).

- E_tot: -143.95 eV per cell
- Energy of formation: 225.4 meV per atom

Unit cell a=4.8795 b=4.8795 c=4.8795 alpha=60.00 beta=60.00 gamma=60.00
Positions (direct):
Li (0.3764, 0.3764, 0.3764)
Li (0.3764, 0.3764, 0.8707)
Li (0.3764, 0.8707, 0.3764)
Li (0.8707, 0.3764, 0.3764)
Ta (0.0000, 0.0000, 0.0000)
Au (0.7500, 0.7500, 0.7500)

---

18.
# ReSbAu2

A PBEsol-optimized structure of ReSbAu2 (SCAN, Alexandria).

- Raw formation energy: 746 meV per atom
- E_tot: -243.69 eV per cell

Unit cell a=4.9808 b=4.9808 c=2.8901 alpha=90.00 beta=90.00 gamma=90.00
Positions (direct):
Re (0.0000, 0.0000, 0.0000)
Sb (0.5000, 0.5000, 0.0000)
Au (0.0000, 0.5000, 0.5000)
Au (0.5000, 0.0000, 0.5000)

---

19.
# NbSnTe2

A PBEsol-optimized structure of NbSnTe2 (SCAN, Alexandria).

- Raw formation energy: -225 meV per atom
- E_tot: -144.45 eV per cell

Unit cell a=10.2226 b=10.2226 c=10.2226 alpha=19.88 beta=19.88 gamma=19.88
Positions (direct):
Nb (0.0000, 0.0000, 0.0000)
Sn (0.5000, 0.5000, 0.5000)
Te (0.3958, 0.3958, 0.3958)
Te (0.6042, 0.6042, 0.6042)

---

20.
# MgTl

A PBEsol-optimized structure of MgTl (SCAN, Alexandria).

- E_tot: -77.55 eV per cell
- Energy of formation: -108.1 meV per atom

Unit cell a=3.4238 b=3.4238 c=4.8127 alpha=90.00 beta=90.00 gamma=120.00
Positions (direct):
Mg (0.0000, 0.0000, 0.0000)
Tl (0.3333, 0.6667, 0.5000)

---

21.
# HoSi2Rh2

A PBEsol-optimized structure of HoSi2Rh2 (SCAN, Alexandria).

- Raw formation energy: -1244 meV per atom
- E_tot: -142.78 eV per cell

Unit cell a=5.6921 b=5.6921 c=5.6921 alpha=138.86 beta=138.86 gamma=59.58
Positions (direct):
Ho (0.0000, 0.0000, 0.0000)
Si (0.3790, 0.3790, 0.0000)
Si (0.6210, 0.6210, 0.0000)
Rh (0.2500, 0.7500, 0.5000)
Rh (0.7500, 0.2500, 0.5000)

---

22.
# Li2ZrTeO

A PBEsol-optimized structure of Li2ZrTeO (SCAN, Alexandria).

- Raw formation energy: -1461 meV per atom
- E_tot: -86.26 eV per cell

Unit cell a=4.1591 b=4.1591 c=4.3547 alpha=90.00 beta=90.00 gamma=90.00
Positions (direct):
Li (0.0000, 0.5000, 0.0000)
Li (0.5000, 0.0000, 0.0000)
Zr (0.0000, 0.0000, 0.5000)
Te (0.5000, 0.5000, 0.5000)
O (0.0000, 0.0000, 0.0000)

---

23.
# LaZnRh

A PBEsol-optimized structure of LaZnRh (SCAN, Alexandria).

- E_tot: -370.30 eV per cell
- Energy of formation: -727.3 meV per atom

Unit cell a=7.0463 b=4.0626 c=8.2609 alpha=90.00 beta=90.00 gamma=90.00
Positions (direct):
La (0.0398, 0.2500, 0.1864)
La (0.4602, 0.7500, 0.6864)
La (0.5398, 0.2500, 0.3136)
La (0.9602, 0.7500, 0.8136)
Zn (0.1302, 0.2500, 0.5590)
Zn (0.3698, 0.7500, 0.0590)
Zn (0.6302, 0.2500, 0.9410)
Zn (0.8698, 0.7500, 0.4410)
Rh (0.2447, 0.7500, 0.3754)
Rh (0.2553, 0.2500, 0.8754)
Rh (0.7447, 0.7500, 0.1246)
Rh (0.7553, 0.2500, 0.6246)

---

24.
# CoRhPb

A PBEsol-optimized structure of CoRhPb (SCAN, Alexandria).

- E_tot: -125.60 eV per cell
- Energy of formation: 420.4 meV per atom

Unit cell a=5.5321 b=5.5321 c=5.5321 alpha=147.76 beta=147.76 gamma=46.24
Positions (direct):
Co (0.0000, 0.0000, 0.0000)
Rh (0.3723, 0.3723, 0.0000)
Pb (0.6810, 0.6810, 0.0000)

---

25.
# In2SiRh

A PBEsol-optimized structure of In2SiRh (SCAN, Alexandria).

- Raw formation energy: 175 meV per atom
- E_tot: -109.86 eV per cell

Unit cell a=4.9768 b=4.9768 c=4.9768 alpha=130.42 beta=130.42 gamma=72.74
Positions (direct):
In (0.2500, 0.7500, 0.5000)
In (0.7500, 0.2500, 0.5000)
Si (0.0000, 0.0000, 0.0000)
Rh (0.5000, 0.5000, 0.0000)